DFT (PBE) results for a relaxed MgInOF2 crystal.

The structure in POSCAR format:
```
MgInOF2
1.0
3.816 0.000 0.000
0.000 3.816 0.000
0.000 0.000 4.400
Mg In O F
1 1 1 2
direct
0.000 0.000 0.000 Mg
0.500 0.500 0.500 In
0.000 0.000 0.500 O
0.000 0.500 0.000 F
0.500 0.000 0.000 F
```

Output
Space group: P4/mmm (123)
Formation energy (no corrections): -2.25 eV per atom

***

DFT (PBE) results for a relaxed Ac2PrPt6 crystal.

The structure in POSCAR format:
```
Ac2PrPt6
1.0
7.862 0.000 0.000
-3.931 6.809 0.000
0.000 0.000 4.051
Ac Pr Pt
2 1 6
direct
0.333 0.667 0.000 Ac
0.667 0.333 0.000 Ac
0.000 0.000 0.000 Pr
0.000 0.332 0.500 Pt
0.000 0.668 0.500 Pt
0.332 0.000 0.500 Pt
0.332 0.332 0.500 Pt
0.668 0.000 0.500 Pt
0.668 0.668 0.500 Pt
```

Output
DFT formation energy: -857.3 kJ/mol of formula units
Space group: P6/mmm (191)

***

DFT (PBE) results for a relaxed CaMg2Sb crystal.

The structure in POSCAR format:
```
CaMg2Sb
1.0
0.000 3.786 3.786
3.786 0.000 3.786
3.786 3.786 0.000
Ca Mg Sb
1 2 1
direct
0.000 0.000 0.000 Ca
0.250 0.250 0.250 Mg
0.500 0.500 0.500 Mg
0.750 0.750 0.750 Sb
```

Output
Space group: F-43m (216)
Formation energy (no corrections): -0.23 eV per atom

***

DFT (PBE) results for a relaxed TaRh2Br crystal.

The structure in POSCAR format:
```
TaRh2Br
1.0
3.248 0.000 0.000
0.000 3.248 0.000
0.000 0.000 6.813
Ta Rh Br
1 2 1
direct
0.000 0.000 0.000 Ta
0.500 0.500 0.203 Rh
0.500 0.500 0.797 Rh
0.000 0.000 0.500 Br
```

Output
Space group: P4/mmm (123)
Formation energy (no corrections): -0.17 eV per atom

***

no.,mass density (g/cm3)
1,5.01
2,13.52
3,3.22
4,10.78